Computed, not measured: a relaxed structure of CeNdTm2Tl4 at the GGA-PBE level of DFT.

Cell lengths 9.4037, 9.4037, 9.4037 Å; angles 33.48, 33.48, 33.48 degrees
Last column: nearest neighbours and their distance in Å.
Sites, in units of the cell vectors:
1 Ce 0.0000 0.0000 0.0000  8 Tl 3.32
2 Nd 0.5000 0.5000 0.5000  8 Tl 3.32-3.33
3 Tm 0.2500 0.2500 0.2500  8 Tl 3.32-3.33
4 Tm 0.7500 0.7500 0.7500  8 Tl 3.32-3.33
5 Tl 0.1248 0.1248 0.1248  4 Tm 3.32-3.33, 3 Nd 3.32, 1 Ce 3.32
6 Tl 0.3750 0.3750 0.3750  3 Ce 3.32, 4 Tm 3.32-3.33, 1 Nd 3.33
7 Tl 0.6250 0.6250 0.6250  3 Ce 3.32, 4 Tm 3.32-3.33, 1 Nd 3.33
8 Tl 0.8752 0.8752 0.8752  4 Tm 3.32-3.33, 3 Nd 3.32, 1 Ce 3.32

## Properties
Formation energy, kJ per mole of atoms: -28.86
SG: R-3m (166)